(1)
LaHo2Sc5 | PBE | optimized geometry

Cell: 6.7083 6.7083 6.7083 Å, 92.45 118.60 118.60°
Atoms (fractional coordinates):
1 La 0.0000 0.7779 0.7779
2 Ho 0.5000 0.2777 0.7777
3 Ho 0.5000 0.7777 0.2777
4 Sc 0.4998 0.7776 0.7776
5 Sc 0.0000 0.7776 0.2779
6 Sc 0.0000 0.2779 0.7776
7 Sc 0.5002 0.2779 0.2779
8 Sc 0.0000 0.2777 0.2777

Space group: No. 139
Total moment (μB/f.u.): 0.00
Calculated formation energy (eV/atom): 0.06

---

(2)
Pm5AsP4 | PBE | optimized geometry

Cell: 4.1548 5.8705 10.9877 Å, 105.49 100.90 90.00°
Atoms (fractional coordinates):
1 Pm 0.6028 0.1028 0.2056
2 Pm 0.8004 0.3004 0.6007
3 Pm 0.1996 0.6996 0.3993
4 Pm 0.0000 0.5000 0.0000
5 Pm 0.3972 0.8972 0.7944
6 As 0.0000 0.0000 0.0000
7 P 0.3998 0.3998 0.7996
8 P 0.7990 0.7990 0.5980
9 P 0.2010 0.2010 0.4020
10 P 0.6002 0.6002 0.2004

Space group: No. 71
Total moment (μB/f.u.): 0.00
Calculated formation energy (eV/atom): -1.55

---

(3)
AsOsBr | PBE | optimized geometry

Cell: 4.3323 4.3323 4.3323 Å, 60.00 60.00 60.00°
Atoms (fractional coordinates):
1 As 0.0000 0.0000 0.0000
2 Os 0.7500 0.7500 0.7500
3 Br 0.5000 0.5000 0.5000

Space group: No. 216
Total moment (μB/f.u.): 0.00
Formation energy (no corrections) (meV/atom): 509